Record 1
Compound: SrLiGe2Au2
Source: Alexandria
Functional: PBE
Structure: relaxed

**Crystal system**: trigonal
**DFT formation energy**: -0.552 eV/atom

```
6
Lattice="4.4886 0.0000 0.0000 -2.2443 3.8872 0.0000 0.0000 0.0000 7.2925" Properties=species:S:1:pos:R:3 pbc="T T T"
Sr 0.0000 0.0000 0.0000
Li 0.0000 0.0000 3.6463
Ge 0.0000 2.5915 5.1054
Ge 2.2443 1.2957 2.1871
Au 0.0000 2.5915 2.2956
Au 2.2443 1.2957 4.9969
```

---

Record 2
Compound: LiTb2Ge4Au3
Source: Alexandria
Functional: PBE
Structure: relaxed

**Crystal system**: tetragonal
**DFT formation energy**: -0.541 eV/atom

```
10
Lattice="4.1426 0.0000 0.0000 0.0000 4.1426 0.0000 0.0000 0.0000 11.6122" Properties=species:S:1:pos:R:3 pbc="T T T"
Li 0.0000 0.0000 0.0000
Tb 0.0000 2.0713 8.9253
Tb 2.0713 0.0000 2.6869
Ge 0.0000 0.0000 5.8061
Ge 0.0000 2.0713 1.5694
Ge 2.0713 0.0000 10.0428
Ge 2.0713 2.0713 5.8061
Au 0.0000 2.0713 4.0813
Au 2.0713 0.0000 7.5309
Au 2.0713 2.0713 0.0000
```

---

Record 3
Compound: Li2TbGe2Au2
Source: Alexandria
Functional: PBE
Structure: relaxed

**Crystal system**: trigonal
**DFT formation energy**: -0.575 eV/atom

```
7
Lattice="2.2269 1.2857 7.5352 -2.2269 1.2857 7.5352 0.0000 -2.5714 7.5352" Properties=species:S:1:pos:R:3 pbc="T T T"
Li 0.0000 0.0000 3.1734
Li 0.0000 0.0000 19.4321
Tb 0.0000 0.0000 0.0000
Ge 0.0000 0.0000 9.6742
Ge 0.0000 0.0000 12.9314
Au 0.0000 0.0000 5.8251
Au 0.0000 0.0000 16.7804
```

---

Record 4
Compound: LiThGeAu
Source: Alexandria
Functional: PBE
Structure: relaxed

**Crystal system**: cubic
**DFT formation energy**: -0.569 eV/atom

```
16
Lattice="7.0632 0.0000 0.0000 0.0000 7.0632 0.0000 0.0000 0.0000 7.0632" Properties=species:S:1:pos:R:3 pbc="T T T"
Li 0.0000 0.0000 0.0000
Li 0.0000 3.5316 3.5316
Li 3.5316 0.0000 3.5316
Li 3.5316 3.5316 0.0000
Th 0.0000 0.0000 3.5316
Th 0.0000 3.5316 0.0000
Th 3.5316 0.0000 0.0000
Th 3.5316 3.5316 3.5316
Ge 1.7658 1.7658 1.7658
Ge 1.7658 5.2974 5.2974
Ge 5.2974 1.7658 5.2974
Ge 5.2974 5.2974 1.7658
Au 1.7658 1.7658 5.2974
Au 1.7658 5.2974 1.7658
Au 5.2974 1.7658 1.7658
Au 5.2974 5.2974 5.2974
```

---

Record 5
Compound: LiTh2Ge4Au3
Source: Alexandria
Functional: PBE
Structure: relaxed

**Crystal system**: tetragonal
**DFT formation energy**: -0.505 eV/atom

```
10
Lattice="4.3060 0.0000 0.0000 0.0000 4.3060 0.0000 0.0000 0.0000 11.0929" Properties=species:S:1:pos:R:3 pbc="T T T"
Li 0.0000 0.0000 0.0000
Th 0.0000 2.1530 8.4198
Th 2.1530 0.0000 2.6731
Ge 0.0000 0.0000 5.5464
Ge 0.0000 2.1530 1.4825
Ge 2.1530 0.0000 9.6104
Ge 2.1530 2.1530 5.5464
Au 0.0000 2.1530 3.9960
Au 2.1530 0.0000 7.0969
Au 2.1530 2.1530 0.0000
```

---

Record 6
Compound: LiTiGeAu2
Source: Alexandria
Functional: PBE
Structure: relaxed

**Crystal system**: tetragonal
**DFT formation energy**: 0.231 eV/atom

```
5
Lattice="4.3922 0.0000 0.0000 0.0000 4.3922 0.0000 0.0000 0.0000 4.5020" Properties=species:S:1:pos:R:3 pbc="T T T"
Li 0.0000 0.0000 0.0000
Ti 2.1961 2.1961 2.2510
Ge 0.0000 0.0000 2.2510
Au 0.0000 2.1961 0.0000
Au 2.1961 0.0000 0.0000
```

---

Record 7
Compound: Li2TmGe2Au2
Source: Alexandria
Functional: PBE
Structure: relaxed

**Crystal system**: trigonal
**DFT formation energy**: -0.563 eV/atom

```
7
Lattice="2.2199 1.2817 7.4217 -2.2199 1.2817 7.4217 0.0000 -2.5633 7.4217" Properties=species:S:1:pos:R:3 pbc="T T T"
Li 0.0000 0.0000 3.1331
Li 0.0000 0.0000 19.1321
Tm 0.0000 0.0000 0.0000
Ge 0.0000 0.0000 9.5202
Ge 0.0000 0.0000 12.7450
Au 0.0000 0.0000 5.7932
Au 0.0000 0.0000 16.4720
```

---

Record 8
Compound: LiTmGeAu
Source: Alexandria
Functional: PBE
Structure: relaxed

**Crystal system**: cubic
**DFT formation energy**: -0.643 eV/atom

```
16
Lattice="6.7600 0.0000 0.0000 0.0000 6.7600 0.0000 0.0000 0.0000 6.7600" Properties=species:S:1:pos:R:3 pbc="T T T"
Li 0.0000 0.0000 0.0000
Li 0.0000 3.3800 3.3800
Li 3.3800 0.0000 3.3800
Li 3.3800 3.3800 0.0000
Tm 0.0000 0.0000 3.3800
Tm 0.0000 3.3800 0.0000
Tm 3.3800 0.0000 0.0000
Tm 3.3800 3.3800 3.3800
Ge 1.6900 1.6900 5.0700
Ge 1.6900 5.0700 1.6900
Ge 5.0700 1.6900 1.6900
Ge 5.0700 5.0700 5.0700
Au 1.6900 1.6900 1.6900
Au 1.6900 5.0700 5.0700
Au 5.0700 1.6900 5.0700
Au 5.0700 5.0700 1.6900
```